Version 1
Entry from OQMD: a geometry-optimized NdHgNO structure (PBE).

Cell and atoms, written as extended XYZ:
```
8
Lattice="4.1499 0.0000 0.0000 0.0000 7.0206 0.0000 0.0000 0.0000 6.5260" Properties=species:S:1:pos:R:3 pbc="T T T"
Nd 0.0000 1.0552 0.0000
Nd 0.0000 5.9654 3.2630
Hg 2.0749 3.4453 4.4463
Hg 2.0749 3.5753 1.1833
N 2.0749 2.2543 6.1117
N 2.0749 4.7663 2.8487
O 0.0000 0.8121 2.1551
O 0.0000 6.2085 5.4181
```



Version 2
Entry from OQMD: a geometry-optimized NdHgNO structure (PBE).

Cell and atoms, written as extended XYZ:
```
8
Lattice="5.1761 0.0000 0.0000 0.0000 5.1761 0.0000 0.0000 0.0000 4.7025" Properties=species:S:1:pos:R:3 pbc="T T T"
Nd 1.2940 3.8821 0.0000
Nd 3.8821 1.2940 0.0000
Hg 1.2940 1.2940 2.3358
Hg 3.8821 3.8821 2.3667
N 1.2940 1.2940 4.6893
N 3.8821 3.8821 0.0132
O 1.2940 3.8821 2.3512
O 3.8821 1.2940 2.3512
```



Version 3
Entry from OQMD: a geometry-optimized NdHgNO structure (PBE).

Cell and atoms, written as extended XYZ:
```
8
Lattice="3.9807 0.0000 0.0000 0.0000 3.9807 0.0000 0.0000 0.0000 8.2382" Properties=species:S:1:pos:R:3 pbc="T T T"
Nd 0.9952 0.9952 1.1988
Nd 2.9855 2.9855 7.0394
Hg 0.9952 2.9855 4.1191
Hg 2.9855 0.9952 4.1191
N 0.9952 0.9952 5.6582
N 2.9855 2.9855 2.5800
O 0.9952 2.9855 0.0000
O 2.9855 0.9952 0.0000
```



Which structure is most stable? version 1, by 0.123 eV/atom over the runner-up.



Version 1
Entry from OQMD: a geometry-optimized HgOsNO structure (PBE).

Cell and atoms, written as extended XYZ:
```
8
Lattice="3.8575 0.0000 0.0000 0.0000 3.8575 0.0000 0.0000 0.0000 7.2742" Properties=species:S:1:pos:R:3 pbc="T T T"
Hg 0.9644 0.9644 1.1973
Hg 2.8931 2.8931 6.0768
Os 0.9644 2.8931 3.6371
Os 2.8931 0.9644 3.6371
N 0.9644 0.9644 4.4564
N 2.8931 2.8931 2.8178
O 0.9644 2.8931 0.0000
O 2.8931 0.9644 0.0000
```



Version 2
Entry from OQMD: a geometry-optimized HgOsNO structure (PBE).

Cell and atoms, written as extended XYZ:
```
8
Lattice="4.0915 0.0000 0.0000 0.0000 4.0915 0.0000 0.0000 0.0000 8.5924" Properties=species:S:1:pos:R:3 pbc="T T T"
Hg 1.0229 3.0686 0.0000
Hg 3.0686 1.0229 0.0000
Os 1.0229 1.0229 3.5964
Os 3.0686 3.0686 4.9961
N 1.0229 1.0229 1.8987
N 3.0686 3.0686 6.6937
O 1.0229 3.0686 4.2962
O 3.0686 1.0229 4.2962
```



Version 3
Entry from OQMD: a geometry-optimized HgOsNO structure (PBE).

Cell and atoms, written as extended XYZ:
```
8
Lattice="3.0735 0.0000 0.0000 0.0000 5.8255 0.0000 0.0000 0.0000 7.0125" Properties=species:S:1:pos:R:3 pbc="T T T"
Hg 0.0000 0.7935 0.0000
Hg 0.0000 5.0320 3.5063
Os 1.5367 2.5586 3.8998
Os 1.5367 3.2669 0.3935
N 0.0000 1.4630 4.1756
N 0.0000 4.3625 0.6693
O 1.5367 2.4234 2.0334
O 1.5367 3.4021 5.5396
```



Version 4
Entry from OQMD: a geometry-optimized HgOsNO structure (PBE).

Cell and atoms, written as extended XYZ:
```
8
Lattice="6.0478 0.0000 0.0000 0.0000 2.7833 0.0000 -0.0369 0.0000 8.0774" Properties=species:S:1:pos:R:3 pbc="T T T"
Hg 0.0000 0.0000 0.0000
Hg 3.0086 0.0000 2.1140
Os -0.0176 1.3916 4.1102
Os 3.0047 1.3916 6.0851
N 1.5246 1.3916 5.0512
N 4.5225 1.3916 5.1034
O 2.9589 0.0000 7.5017
O 6.0088 0.0000 2.6959
```



Which structure is most stable? version 4, by 0.052 eV/atom over the runner-up.



Version 1
Entry from OQMD: a geometry-optimized HgPbNO structure (PBE).

Cell and atoms, written as extended XYZ:
```
8
Lattice="3.8155 0.0000 0.0000 0.0000 6.4264 0.0000 0.0000 0.0000 6.1678" Properties=species:S:1:pos:R:3 pbc="T T T"
Hg 0.0000 0.9371 0.0000
Hg 0.0000 5.4892 3.0839
Pb 1.9077 2.0999 2.9879
Pb 1.9077 4.3264 6.0718
N 0.0000 1.1596 2.2383
N 0.0000 5.2668 5.3222
O 1.9077 2.2461 5.2499
O 1.9077 4.1803 2.1660
```



Version 2
Entry from OQMD: a geometry-optimized HgPbNO structure (PBE).

Cell and atoms, written as extended XYZ:
```
8
Lattice="4.3598 0.0000 0.0000 0.0000 4.3598 0.0000 0.0000 0.0000 8.9539" Properties=species:S:1:pos:R:3 pbc="T T T"
Hg 1.0900 3.2699 0.0000
Hg 3.2699 1.0900 0.0000
Pb 1.0900 1.0900 3.4296
Pb 3.2699 3.2699 5.5243
N 1.0900 1.0900 8.6187
N 3.2699 3.2699 0.3352
O 1.0900 3.2699 4.4769
O 3.2699 1.0900 4.4769
```



Version 3
Entry from OQMD: a geometry-optimized HgPbNO structure (PBE).

Cell and atoms, written as extended XYZ:
```
8
Lattice="4.3219 0.0000 0.0000 0.0000 4.3219 0.0000 0.0000 0.0000 7.7028" Properties=species:S:1:pos:R:3 pbc="T T T"
Hg 1.0805 3.2415 0.0000
Hg 3.2415 1.0805 0.0000
Pb 1.0805 1.0805 2.8302
Pb 3.2415 3.2415 4.8726
N 1.0805 1.0805 6.9101
N 3.2415 3.2415 0.7928
O 1.0805 3.2415 3.8514
O 3.2415 1.0805 3.8514
```



Which structure is most stable? version 1, by 0.136 eV/atom over the runner-up.



Version 1
Entry from OQMD: a geometry-optimized PrHgNO structure (PBE).

Cell and atoms, written as extended XYZ:
```
8
Lattice="4.0979 0.0000 0.0000 0.0000 6.3221 0.0000 0.0000 0.0000 5.7234" Properties=species:S:1:pos:R:3 pbc="T T T"
Pr 0.0000 1.3241 0.0000
Pr 0.0000 4.9980 2.8617
Hg 2.0489 1.6876 2.7796
Hg 2.0489 4.6345 5.6414
N 0.0000 1.0138 2.4448
N 0.0000 5.3083 5.3065
O 2.0489 2.2038 5.2501
O 2.0489 4.1183 2.3884
```



Version 2
Entry from OQMD: a geometry-optimized PrHgNO structure (PBE).

Cell and atoms, written as extended XYZ:
```
8
Lattice="5.2124 0.0000 0.0000 0.0000 5.2124 0.0000 0.0000 0.0000 4.7273" Properties=species:S:1:pos:R:3 pbc="T T T"
Pr 1.3031 3.9093 0.0000
Pr 3.9093 1.3031 0.0000
Hg 1.3031 1.3031 2.3493
Hg 3.9093 3.9093 2.3780
N 1.3031 1.3031 4.7080
N 3.9093 3.9093 0.0193
O 1.3031 3.9093 2.3636
O 3.9093 1.3031 2.3636
```



Version 3
Entry from OQMD: a geometry-optimized PrHgNO structure (PBE).

Cell and atoms, written as extended XYZ:
```
16
Lattice="5.9123 0.0000 0.0000 0.0000 8.2767 0.0000 0.0000 0.0000 5.9463" Properties=species:S:1:pos:R:3 pbc="T T T"
Pr 0.1947 1.1207 0.0000
Pr 2.7615 1.1207 2.9731
Pr 3.1508 7.1560 0.0000
Pr 5.7176 7.1560 2.9731
Hg 0.0952 4.4455 0.4753
Hg 2.8610 4.4455 3.4484
Hg 3.0513 3.8311 0.4753
Hg 5.8171 3.8311 3.4484
N 0.6486 2.7975 1.7840
N 2.3076 2.7975 4.7572
N 3.6047 5.4791 1.7840
N 5.2637 5.4791 4.7572
O 1.4526 8.0805 1.4186
O 1.5035 8.0805 4.3917
O 4.4088 0.1961 1.4186
O 4.4597 0.1961 4.3917
```



Which structure is most stable? version 3, by 0.098 eV/atom over the runner-up.



Version 1
Entry from OQMD: a geometry-optimized PrHgNO structure (PBE).

Cell and atoms, written as extended XYZ:
```
8
Lattice="3.9975 0.0000 0.0000 0.0000 3.9975 0.0000 0.0000 0.0000 8.2965" Properties=species:S:1:pos:R:3 pbc="T T T"
Pr 0.9994 0.9994 1.2216
Pr 2.9981 2.9981 7.0749
Hg 0.9994 2.9981 4.1483
Hg 2.9981 0.9994 4.1483
N 0.9994 0.9994 5.6784
N 2.9981 2.9981 2.6182
O 0.9994 2.9981 0.0000
O 2.9981 0.9994 0.0000
```



Version 2
Entry from OQMD: a geometry-optimized PrHgNO structure (PBE).

Cell and atoms, written as extended XYZ:
```
8
Lattice="4.0154 0.0000 0.0000 0.0000 6.6446 0.0000 0.0000 0.0000 6.3071" Properties=species:S:1:pos:R:3 pbc="T T T"
Pr 0.0000 1.0053 0.0000
Pr 0.0000 5.6393 3.1535
Hg 2.0077 2.9117 3.5731
Hg 2.0077 3.7329 0.4196
N 2.0077 2.0267 5.4505
N 2.0077 4.6179 2.2969
O 0.0000 1.0190 2.2509
O 0.0000 5.6256 5.4045
```



Which structure is most stable? version 2, by 0.060 eV/atom over the runner-up.



Version 1
Entry from OQMD: a geometry-optimized ReHgNO structure (PBE).

Cell and atoms, written as extended XYZ:
```
8
Lattice="3.2046 0.0000 0.0000 0.0000 7.9195 0.0000 0.0000 0.0000 6.0688" Properties=species:S:1:pos:R:3 pbc="T T T"
Re 0.0000 1.0092 0.0000
Re 0.0000 6.9103 3.0344
Hg 1.6023 2.8730 3.0133
Hg 1.6023 5.0466 6.0477
N 0.0000 0.0102 1.5255
N 0.0000 7.9093 4.5599
O 1.6023 2.0739 6.0472
O 1.6023 5.8456 3.0128
```



Version 2
Entry from OQMD: a geometry-optimized ReHgNO structure (PBE).

Cell and atoms, written as extended XYZ:
```
8
Lattice="3.2192 0.0000 0.0000 0.0000 5.6806 0.0000 0.0000 0.0000 7.4068" Properties=species:S:1:pos:R:3 pbc="T T T"
Re 0.0000 0.3165 0.0000
Re 0.0000 5.3640 3.7034
Hg 1.6096 2.0771 3.5305
Hg 1.6096 3.6034 7.2339
N 1.6096 1.3258 0.1026
N 1.6096 4.3548 3.8060
O 0.0000 0.1817 5.5209
O 0.0000 5.4988 1.8175
```



Version 3
Entry from OQMD: a geometry-optimized ReHgNO structure (PBE).

Cell and atoms, written as extended XYZ:
```
16
Lattice="7.2811 0.0000 0.0000 0.0000 7.6816 0.0000 0.0000 0.0000 5.0414" Properties=species:S:1:pos:R:3 pbc="T T T"
Re 1.2890 0.5419 0.0000
Re 2.3515 0.5419 2.5207
Re 4.9296 7.1397 0.0000
Re 5.9921 7.1397 2.5207
Hg 1.0243 4.9102 5.0322
Hg 2.6162 4.9102 2.5115
Hg 4.6649 2.7714 5.0322
Hg 6.2568 2.7714 2.5115
N 1.0941 2.2118 0.0529
N 2.5464 2.2118 2.5737
N 4.7347 5.4698 0.0529
N 6.1870 5.4698 2.5737
O 0.5061 0.1676 3.1520
O 3.1344 0.1676 0.6313
O 4.1467 7.5140 3.1520
O 6.7750 7.5140 0.6313
```



Which structure is most stable? version 2, by 0.036 eV/atom over the runner-up.



Version 1
Entry from OQMD: a geometry-optimized HgSbNO structure (PBE).

Cell and atoms, written as extended XYZ:
```
8
Lattice="3.3674 0.0000 0.0000 0.0000 6.2355 0.0000 0.0000 0.0000 6.4478" Properties=species:S:1:pos:R:3 pbc="T T T"
Hg 0.0000 1.2284 0.0000
Hg 0.0000 5.0072 3.2239
Sb 1.6837 1.6473 3.0632
Sb 1.6837 4.5882 6.2871
N 0.0000 0.9436 4.1818
N 0.0000 5.2919 0.9579
O 1.6837 2.7839 0.6535
O 1.6837 3.4517 3.8774
```



Version 2
Entry from OQMD: a geometry-optimized HgSbNO structure (PBE).

Cell and atoms, written as extended XYZ:
```
16
Lattice="7.0265 0.0000 0.0000 0.0000 7.0743 0.0000 0.0000 0.0000 5.7591" Properties=species:S:1:pos:R:3 pbc="T T T"
Hg 0.9464 0.7282 0.0000
Hg 2.5669 0.7282 2.8795
Hg 4.4597 6.3461 0.0000
Hg 6.0801 6.3461 2.8795
Sb 0.7472 4.5703 0.0352
Sb 2.7661 4.5703 2.9147
Sb 4.2604 2.5040 0.0352
Sb 6.2794 2.5040 2.9147
N 0.4515 0.9904 3.5363
N 3.0618 0.9904 0.6567
N 3.9647 6.0840 3.5363
N 6.5750 6.0840 0.6567
O 0.2985 3.0050 1.2417
O 3.2148 3.0050 4.1212
O 3.8117 4.0693 1.2417
O 6.7280 4.0693 4.1212
```



Which structure is most stable? version 2, by 0.034 eV/atom over the runner-up.



Version 1
Entry from OQMD: a geometry-optimized HgSbNO structure (PBE).

Cell and atoms, written as extended XYZ:
```
8
Lattice="4.3348 0.0000 0.0000 0.0000 5.4862 0.0000 0.0000 0.0000 5.3515" Properties=species:S:1:pos:R:3 pbc="T T T"
Hg 0.0000 1.2907 0.0000
Hg 0.0000 4.1956 2.6757
Sb 2.1674 1.4769 2.6951
Sb 2.1674 4.0093 0.0194
N 2.1674 1.9506 4.7850
N 2.1674 3.5356 2.1093
O 0.0000 1.3583 2.5380
O 0.0000 4.1279 5.2138
```



Version 2
Entry from OQMD: a geometry-optimized HgSbNO structure (PBE).

Cell and atoms, written as extended XYZ:
```
16
Lattice="5.8307 0.0000 0.0000 0.0000 7.0617 0.0000 0.0000 0.0000 6.5563" Properties=species:S:1:pos:R:3 pbc="T T T"
Hg 0.1879 0.9635 0.0000
Hg 2.7275 0.9635 3.2781
Hg 3.1032 6.0982 0.0000
Hg 5.6428 6.0982 3.2781
Sb 0.1257 4.5532 6.1193
Sb 2.7897 4.5532 2.8411
Sb 3.0410 2.5085 6.1193
Sb 5.7050 2.5085 2.8411
N 0.9244 4.1141 3.6666
N 1.9909 4.1141 0.3884
N 3.8398 2.9476 3.6666
N 4.9062 2.9476 0.3884
O 0.4215 1.0372 4.2295
O 2.4938 1.0372 0.9513
O 3.3369 6.0245 4.2295
O 5.4091 6.0245 0.9513
```



Version 3
Entry from OQMD: a geometry-optimized HgSbNO structure (PBE).

Cell and atoms, written as extended XYZ:
```
8
Lattice="5.0311 0.0000 0.0000 0.0000 5.0311 0.0000 0.0000 0.0000 4.6813" Properties=species:S:1:pos:R:3 pbc="T T T"
Hg 1.2578 1.2578 0.0226
Hg 3.7733 3.7733 4.6587
Sb 1.2578 3.7733 2.3406
Sb 3.7733 1.2578 2.3406
N 1.2578 1.2578 2.3587
N 3.7733 3.7733 2.3226
O 1.2578 3.7733 0.0000
O 3.7733 1.2578 0.0000
```



Which structure is most stable? version 1, by 0.054 eV/atom over the runner-up.